Material: BaThO4
Method: DFT, PBE
State: optimized geometry

## Properties
Magnetic moment   0.3347 μB/atom
Final energy   -7.408 eV per atom

extended XYZ file:
```
6
Lattice="4.023 0.000 0.000 0.000 4.023 0.000 0.000 0.000 6.408" Properties=species:S:1:pos:R:3 pbc="T T T"
Ba 0.000 0.000 0.000
Th 2.012 2.012 3.204
O 0.000 2.012 1.837
O 0.000 2.012 4.570
O 2.012 0.000 1.837
O 2.012 0.000 4.570
```

Material: CaTaH
Method: DFT, PBE
State: optimized geometry

## Properties
Magnetic moment   0.1899 μB/atom
Final energy   -5.199 eV per atom
Polymorph energy (0 for the lowest one)   1.86 eV/f.u.

extended XYZ file:
```
12
Lattice="5.741 0.000 0.000 0.000 6.128 0.000 0.000 0.000 5.758" Properties=species:S:1:pos:R:3 pbc="T T T"
Ca 0.000 0.000 0.000
Ca 0.000 3.064 0.000
Ca 2.871 0.000 2.879
Ca 2.871 3.064 2.879
Ta 0.016 1.532 2.799
Ta 2.854 4.596 5.678
Ta 2.887 1.532 0.080
Ta 5.725 4.596 2.959
H 1.267 4.596 4.474
H 1.604 1.532 1.595
H 4.138 4.596 4.162
H 4.474 1.532 1.284
```

Material: ZnInPb2
Method: DFT, PBE
State: optimized geometry

## Properties
Magnetic moment   0.0000 μB/atom
Final energy   -2.742 eV per atom
Formation energy from the elements   0.115 eV per atom

extended XYZ file:
```
4
Lattice="1.684 0.972 11.178 -1.684 0.972 11.178 0.000 -1.944 11.178" Properties=species:S:1:pos:R:3 pbc="T T T"
Zn 0.000 0.000 0.000
In 0.000 0.000 16.767
Pb 0.000 0.000 8.608
Pb 0.000 0.000 24.927
```

- Which of these has the highest final energy?
  ZnInPb2

- Number 2 is which compound?
  CaTaH